First-principles (PBE-GGA) data for an optimized crystal structure of PuZrU2P4, as listed in the Alexandria database.

POSCAR file:
```
PuZrU2P4
1.0
-1.794 2.837 -1.942
-0.718 -4.057 -5.264
-5.421 -0.645 4.065
Pu Zr U P
1 1 2 4
Cartesian
-1.256 -0.610 -3.603
0.000 0.000 0.000
-3.607 1.096 1.062
-3.069 -2.351 -0.600
-2.393 0.280 -1.252
-5.539 -2.145 -1.889
-4.254 -1.474 1.776
-1.884 -3.228 -2.975
```

ΔE_f: -1145 meV/atom
SG: No. 10

First-principles (PBE-GGA) data for an optimized crystal structure of Pu3Zr2UP6, as listed in the Alexandria database.

POSCAR file:
```
Pu3Zr2UP6
1.0
3.880 0.000 0.000
0.000 7.814 0.269
-1.940 -2.254 8.177
Pu Zr U P
3 2 1 6
Cartesian
1.940 3.907 0.134
1.940 -0.207 5.507
0.000 5.767 2.939
1.940 3.667 5.580
0.000 1.894 2.867
1.940 0.000 0.000
0.000 5.569 5.699
1.940 3.766 2.916
1.940 -0.008 2.747
0.000 1.930 0.154
1.940 3.631 8.292
0.000 1.795 5.530
```

ΔE_f: -1235 meV/atom
SG: No. 12